Record 1
The following is a DFT calculation (PBE) of RbBSe2N after structural relaxation. Values from VASP.

```
&SYSTEM
  ibrav = 0, nat = 5, ntyp = 4
/
ATOMIC_SPECIES
Se 78.96 Se.upf
N 14.01 N.upf
B 10.81 B.upf
Rb 85.47 Rb.upf
CELL_PARAMETERS angstrom
6.268 0.000 0.000
0.000 6.268 0.000
0.000 0.000 5.387
ATOMIC_POSITIONS angstrom
Se 0.000 3.134 0.000
N 0.000 0.000 2.694
B 3.134 3.134 2.694
Rb 0.000 0.000 0.000
Se 3.134 0.000 0.000
```

Properties
volume: 42.3 A^3/atom
DFT total energy: -10.780 eV/cell
formation energy (no corrections): 2432 meV per atom
polymorph energy (0 for the lowest one): 2602 meV per atom


Record 2
The following is a DFT calculation (PBE) of OsBrN2F after structural relaxation. Values from VASP.

```
&SYSTEM
  ibrav = 0, nat = 5, ntyp = 4
/
ATOMIC_SPECIES
N 14.01 N.upf
Os 190.23 Os.upf
Br 79.90 Br.upf
F 19.00 F.upf
CELL_PARAMETERS angstrom
3.910 0.000 0.000
0.000 3.910 0.000
0.000 0.000 4.175
ATOMIC_POSITIONS angstrom
N 1.955 0.000 0.000
Os 0.000 0.000 0.000
N 0.000 1.955 0.000
Br 1.955 1.955 2.087
F 0.000 0.000 2.087
```

Properties
volume: 12.8 A^3/atom
DFT total energy: -28.440 eV/cell
formation energy (no corrections): 597 meV per atom
polymorph energy (0 for the lowest one): 0 meV per atom


Record 3
The following is a DFT calculation (PBE) of LiPaPd2 after structural relaxation. Values from VASP.

```
&SYSTEM
  ibrav = 0, nat = 4, ntyp = 3
/
ATOMIC_SPECIES
Li 6.94 Li.upf
Pd 106.42 Pd.upf
Pa 231.04 Pa.upf
CELL_PARAMETERS angstrom
-1.250 2.109 -2.068
-0.375 -2.341 -2.161
-6.186 -1.267 2.446
ATOMIC_POSITIONS angstrom
Li -0.812 -0.116 -2.115
Pd -4.869 -0.998 1.925
Pd -1.317 -0.270 0.521
Pa -3.905 -0.750 -0.891
```

Properties
volume: 17.4 A^3/atom
DFT total energy: -23.768 eV/cell
polymorph energy (0 for the lowest one): 0 meV per atom
energy of formation from the pure elements: -47.6 kJ/mol of atoms


Record 4
The following is a DFT calculation (PBE) of Ga2Cu2Pb after structural relaxation. Values from VASP.

```
&SYSTEM
  ibrav = 0, nat = 10, ntyp = 3
/
ATOMIC_SPECIES
Cu 63.55 Cu.upf
Pb 207.20 Pb.upf
Ga 69.72 Ga.upf
CELL_PARAMETERS angstrom
-7.037 2.787 0.225
-0.856 -1.566 -7.358
-1.107 -2.855 0.736
ATOMIC_POSITIONS angstrom
Cu -4.474 1.541 -0.751
Pb -3.946 0.610 -3.566
Ga -5.953 -0.878 -5.620
Cu -6.716 1.477 -4.372
Cu -1.176 -0.256 -2.761
Pb 0.000 0.000 0.000
Cu -3.419 -0.320 -6.382
Ga -2.290 -2.008 -4.494
Ga -6.710 0.374 -1.903
Ga -3.047 -0.756 -0.777
```

Properties
volume: 18.1 A^3/atom
DFT total energy: -34.703 eV/cell
polymorph energy (0 for the lowest one): 76 meV per atom
energy of formation from the pure elements: 11.6 kJ/mol of atoms


Record 5
The following is a DFT calculation (PBE) of Mn2AgBi2 after structural relaxation. Values from VASP.

```
&SYSTEM
  ibrav = 0, nat = 10, ntyp = 3
/
ATOMIC_SPECIES
Bi 208.98 Bi.upf
Mn 54.94 Mn.upf
Ag 107.87 Ag.upf
CELL_PARAMETERS angstrom
-1.004 -3.309 -6.530
6.602 2.439 -2.251
1.676 -3.252 1.390
ATOMIC_POSITIONS angstrom
Bi 1.646 -2.290 -1.833
Bi 5.103 -0.556 -1.943
Bi 5.627 -1.831 -5.558
Mn 5.386 0.896 -4.397
Mn 3.266 -1.356 -7.111
Ag 2.799 -0.435 -4.391
Mn 0.211 -1.765 -4.384
Bi 2.170 -3.565 -5.448
Mn 2.331 0.487 -1.671
Ag 0.000 0.000 0.000
```

Properties
volume: 21.4 A^3/atom
DFT total energy: -54.809 eV/cell
energy of formation from the pure elements: 29.9 kJ/mol of atoms


Record 6
The following is a DFT calculation (PBE) of Sm2TmPuO8 after structural relaxation. Values from VASP.

```
&SYSTEM
  ibrav = 0, nat = 12, ntyp = 4
/
ATOMIC_SPECIES
O 16.00 O.upf
Tm 168.93 Tm.upf
Sm 150.36 Sm.upf
Pu 244.00 Pu.upf
CELL_PARAMETERS angstrom
-4.715 1.171 1.746
-0.554 -4.926 1.427
2.707 1.518 6.293
ATOMIC_POSITIONS angstrom
O -1.871 1.258 6.571
O -3.821 -2.723 2.301
O -0.691 -3.496 2.894
Tm 1.354 0.759 3.147
O -3.364 0.421 3.100
O 0.802 -2.659 6.366
Sm -0.627 -0.752 6.254
Sm -1.935 -1.486 3.212
Pu 0.000 0.000 0.000
O -0.232 -0.372 4.102
O 1.260 0.485 7.165
O -2.330 -1.865 5.364
```

Properties
volume: 15.6 A^3/atom
DFT total energy: -104.409 eV/cell
formation energy (no corrections): -3042 meV per atom


Record 7
The following is a DFT calculation (PBE) of Ba2OsW after structural relaxation. Values from VASP.

```
&SYSTEM
  ibrav = 0, nat = 4, ntyp = 3
/
ATOMIC_SPECIES
Ba 137.33 Ba.upf
W 183.84 W.upf
Os 190.23 Os.upf
CELL_PARAMETERS angstrom
-0.685 -0.783 -2.939
3.541 -4.129 0.276
-4.303 -3.560 1.951
ATOMIC_POSITIONS angstrom
Ba -2.146 -1.775 0.973
W -1.799 -5.126 0.132
Os 0.352 -3.346 -0.844
Ba -0.006 -0.005 0.003
```

Properties
volume: 25.1 A^3/atom
DFT total energy: -21.563 eV/cell
polymorph energy (0 for the lowest one): 1214 meV per atom
energy of formation from the pure elements: 155.9 kJ/mol of atoms


Record 8
The following is a DFT calculation (PBE) of DyPuCdRh after structural relaxation. Values from VASP.

```
&SYSTEM
  ibrav = 0, nat = 4, ntyp = 4
/
ATOMIC_SPECIES
Rh 102.91 Rh.upf
Dy 162.50 Dy.upf
Pu 244.00 Pu.upf
Cd 112.41 Cd.upf
CELL_PARAMETERS angstrom
5.072 0.000 0.000
2.536 4.392 0.000
2.536 1.464 4.141
ATOMIC_POSITIONS angstrom
Rh 2.536 1.464 1.035
Dy 5.072 2.928 2.071
Pu 0.000 0.000 0.000
Cd 7.608 4.392 3.106
```

Properties
volume: 23.1 A^3/atom
DFT total energy: -28.317 eV/cell
energy of formation from the pure elements: -26.9 kJ/mol of atoms


What did the sixth record say?
The following is a DFT calculation (PBE) of Sm2TmPuO8 after structural relaxation. Values from VASP.

```
&SYSTEM
  ibrav = 0, nat = 12, ntyp = 4
/
ATOMIC_SPECIES
O 16.00 O.upf
Tm 168.93 Tm.upf
Sm 150.36 Sm.upf
Pu 244.00 Pu.upf
CELL_PARAMETERS angstrom
-4.715 1.171 1.746
-0.554 -4.926 1.427
2.707 1.518 6.293
ATOMIC_POSITIONS angstrom
O -1.871 1.258 6.571
O -3.821 -2.723 2.301
O -0.691 -3.496 2.894
Tm 1.354 0.759 3.147
O -3.364 0.421 3.100
O 0.802 -2.659 6.366
Sm -0.627 -0.752 6.254
Sm -1.935 -1.486 3.212
Pu 0.000 0.000 0.000
O -0.232 -0.372 4.102
O 1.260 0.485 7.165
O -2.330 -1.865 5.364
```

Properties
volume: 15.6 A^3/atom
DFT total energy: -104.409 eV/cell
formation energy (no corrections): -3042 meV per atom


Which formula does entry 1 have?
RbBSe2N


Which formula does entry 3 have?
LiPaPd2


Look up the DFT total energy of the seventh one.
-21.563 eV/cell